Entry 1:
The following is a PBE-GGA calculation of an optimized crystal structure of CdCu2AgAu, from the Alexandria database.

Geometry as CIF:
```
data_CdCu2AgAu
_chemical_formula_sum 'Cd1 Cu2 Ag1 Au1'
_space_group_name_H-M_alt 'P 4/m m m'
_space_group_IT_number 123
_space_group_name_Hall '-P 4 2'
_cell_length_a 4.8032
_cell_length_b 4.8032
_cell_length_c 5.1390
_cell_angle_alpha 90.00
_cell_angle_beta 90.00
_cell_angle_gamma 90.00
loop_
_atom_site_label
_atom_site_type_symbol
_atom_site_fract_x
_atom_site_fract_y
_atom_site_fract_z
_atom_site_occupancy
Cd1 Cd 0.0000 0.0000 0.0000 1
Cu1 Cu 0.0000 0.5000 0.0000 1
Ag1 Ag 0.5000 0.5000 0.5000 1
Au1 Au 0.0000 0.0000 0.5000 1
```

=====

Entry 2:
The following is a PBE-GGA calculation of an optimized crystal structure of CdCuAg2Au2, from the Alexandria database.

Geometry as CIF:
```
data_CdCuAg2Au2
_chemical_formula_sum 'Cd2 Cu2 Ag4 Au4'
_space_group_name_H-M_alt 'P m c 21'
_space_group_IT_number 26
_cell_length_a 4.1583
_cell_length_b 8.6080
_cell_length_c 5.8858
_cell_angle_alpha 90.00
_cell_angle_beta 90.00
_cell_angle_gamma 90.00
loop_
_space_group_symop_operation_xyz
'x,y,z'
'-x,-y,z+1/2'
'-x,y,z'
'x,-y,z+1/2'
loop_
_atom_site_label
_atom_site_type_symbol
_atom_site_fract_x
_atom_site_fract_y
_atom_site_fract_z
_atom_site_occupancy
Cd1 Cd 0.0000 0.0070 0.0000 1
Cu1 Cu 0.5000 0.1748 0.2432 1
Ag1 Ag 0.0000 0.3374 0.9788 1
Ag2 Ag 0.5000 0.4979 0.2254 1
Au1 Au 0.0000 0.3241 0.4691 1
Au2 Au 0.5000 0.1612 0.7415 1
```

=====

Entry 3:
The following is a PBE-GGA calculation of an optimized crystal structure of CdCuAgAu, from the Alexandria database.

Geometry as CIF:
```
data_CdCuAgAu
_chemical_formula_sum 'Cd2 Cu2 Ag2 Au2'
_space_group_name_H-M_alt 'P 4/n m m'
_space_group_IT_number 129
_cell_length_a 4.2734
_cell_length_b 4.2734
_cell_length_c 7.5471
_cell_angle_alpha 90.00
_cell_angle_beta 90.00
_cell_angle_gamma 90.00
loop_
_space_group_symop_operation_xyz
'x,y,z'
'-x,-y,-z'
'-y+1/2,x,z'
'y+1/2,-x,-z'
'-x+1/2,-y+1/2,z'
'x+1/2,y+1/2,-z'
'y,-x+1/2,z'
'-y,x+1/2,-z'
'x+1/2,-y,-z'
'-x+1/2,y,z'
'-y,-x,-z'
'y,x,z'
'-x,y+1/2,-z'
'x,-y+1/2,z'
'y+1/2,x+1/2,-z'
'-y+1/2,-x+1/2,z'
loop_
_atom_site_label
_atom_site_type_symbol
_atom_site_fract_x
_atom_site_fract_y
_atom_site_fract_z
_atom_site_occupancy
Cd1 Cd 0.2500 0.2500 0.2308 1
Cu1 Cu 0.2500 0.7500 0.0000 1
Ag1 Ag 0.2500 0.7500 0.5000 1
Au1 Au 0.2500 0.2500 0.7795 1
```

=====

Entry 4:
The following is a PBE-GGA calculation of an optimized crystal structure of Dy4CdAg2Au, from the Alexandria database.

Geometry as CIF:
```
data_Dy4CdAg2Au
_chemical_formula_sum 'Dy12 Cd3 Ag6 Au3'
_space_group_name_H-M_alt 'R -3 m'
_space_group_IT_number 166
_space_group_name_Hall '-R 3 2"'
_cell_length_a 5.1555
_cell_length_b 5.1555
_cell_length_c 25.3543
_cell_angle_alpha 90.00
_cell_angle_beta 90.00
_cell_angle_gamma 120.00
loop_
_atom_site_label
_atom_site_type_symbol
_atom_site_fract_x
_atom_site_fract_y
_atom_site_fract_z
_atom_site_occupancy
Dy1 Dy 0.0000 0.0000 0.1205 1
Dy2 Dy 0.0000 0.0000 0.3712 1
Cd1 Cd 0.0000 0.0000 0.5000 1
Ag1 Ag 0.0000 0.0000 0.2434 1
Au1 Au 0.0000 0.0000 0.0000 1
```

=====

no.,ΔH_f (0 K) (eV per formula unit),DFT total energy (eV/atom)
1,4.38,-2.1720
2,-0.18,-2.9074
3,-0.27,-2.8531
4,-3.67,-3.9962